Here is a relaxed structure of ZrBrO from the Alexandria database. Energies are from GGA-PBEsol.

Calculated values
Energy relative to the elements, uncorrected   -2.320 eV per atom
Calculated total energy   -7.723 eV per atom
Symmetry   R-3m, No. 166

Cell lengths 3.6922, 3.6922, 9.8666 Å; angles 79.22, 79.22, 60.00 degrees
Element x y z (fractional)
Br 0.6070 0.6070 0.1789
Br 0.3930 0.3930 0.8211
O 0.1992 0.1992 0.4024
O 0.8008 0.8008 0.5976
Zr 0.1245 0.1245 0.6266
Zr 0.8755 0.8755 0.3734

---

Here is a relaxed structure of Re2SiBAu from the Alexandria database. Energies are from GGA-PBEsol.

Calculated values
Energy relative to the elements, uncorrected   2.208 eV per atom
Calculated total energy   -6.462 eV per atom
Symmetry   P4/mmm, No. 123

Cell lengths 4.3896, 4.4422, 4.4422 Å; angles 90.00, 90.00, 90.00 degrees
Element x y z (fractional)
B 0.5000 0.5000 0.5000
Re 0.0000 0.5000 0.0000
Re 0.0000 0.0000 0.5000
Au 0.5000 0.0000 0.0000
Si 0.0000 0.0000 0.0000

---

Here is a relaxed structure of Hg2BiPb2 from the Alexandria database. Energies are from GGA-PBEsol.

Calculated values
E_form   0.216 eV per formula unit
Calculated total energy   -2.640 eV per atom
Symmetry   I4/mmm, No. 139

Cell lengths 4.1342, 4.1342, 8.9435 Å; angles 103.36, 103.36, 90.00 degrees
Element x y z (fractional)
Hg 0.7500 0.2500 0.5000
Hg 0.2500 0.7500 0.5000
Bi 0.0000 0.0000 0.0000
Pb 0.5983 0.5983 0.1965
Pb 0.4017 0.4017 0.8035

---

- What is the calculated total energy in the second record?
  -6.462 eV per atom

---

- calculated total energy of number 2 (Re2SiBAu)?
  -6.462 eV per atom

---

- What is the calculated total energy in the second record?
  -6.462 eV per atom